Below is a relaxed structure of Hg2Pd5, with properties calculated at the PBE level.

Values from the calculation:
The value obtained for the relative energy among the computed polymorphs is 227 meV/atom. As for the total energy: -3.68 eV per atom. The formation enthalpy at 0 K is 0.118 eV/atom.

Lattice parameters (Å, degrees): 10.060 5.366 5.406 90.00 118.02 90.00
Space group C2/m (No. 12)
Unique sites:
Hg1 0.135 0.000 0.282
Pd1 0.000 0.500 0.000
Pd2 0.131 0.247 0.742


Below is a relaxed structure of Hg2Pd5, with properties calculated at the PBE level.

Values from the calculation:
The value obtained for the relative energy among the computed polymorphs is 0 meV/atom. As for the total energy: -3.90 eV per atom. The formation enthalpy at 0 K is -0.108 eV/atom.

Lattice parameters (Å, degrees): 12.948 4.891 7.494 90.00 93.43 90.00
Space group C2/c (No. 15)
Unique sites:
Hg1 0.077 0.184 0.105
Pd1 0.000 0.321 0.750
Pd2 0.146 0.323 0.462
Pd3 0.214 0.177 0.818


Below is a relaxed structure of Hg2Pd3, with properties calculated at the PBE level.

Values from the calculation:
The value obtained for the relative energy among the computed polymorphs is 0 meV/atom. As for the total energy: -3.36 eV per atom. The formation enthalpy at 0 K is -0.124 eV/atom.

Lattice parameters (Å, degrees): 3.373 3.373 15.450 90.00 90.00 90.00
Space group P4/mmm (No. 123)
Unique sites:
Hg1 0.000 0.000 0.103
Hg2 0.000 0.000 0.310
Pd1 0.000 0.000 0.500
Pd2 0.500 0.500 0.000
Pd3 0.500 0.500 0.204
Pd4 0.500 0.500 0.407


Which of these has the highest relative energy among the computed polymorphs?
number 1


Look up the formation enthalpy at 0 K of the third one.
-0.124 eV/atom